Arrangement 1

## K2NaMg2 (GGA-PBE)

Data for K2NaMg2 after structural relaxation.

Cell and atoms, written as POSCAR:
```
K2NaMg2
1.0
10.812 0.000 0.000
0.000 10.812 0.000
0.000 0.000 3.736
Mg K Na
4 4 2
Direct
0.898 0.398 0.500 Mg
0.398 0.102 0.500 Mg
0.102 0.602 0.500 Mg
0.602 0.898 0.500 Mg
0.812 0.688 0.000 K
0.312 0.812 0.000 K
0.688 0.188 0.000 K
0.188 0.312 0.000 K
0.500 0.500 0.000 Na
0.000 0.000 0.000 Na
```

Calculated values
The value obtained for the theoretical density is 1139 kg/m³. The value obtained for the total magnetization is 0.0 Bohr magnetons per cell. As for the space-group type: P4/mbm, No. 127.



Arrangement 2

## K2NaMg2 (GGA-PBE)

Data for K2NaMg2 after structural relaxation.

Cell and atoms, written as POSCAR:
```
K2NaMg2
1.0
8.835 0.000 0.000
0.000 8.835 0.000
0.000 0.000 5.668
Mg K Na
4 4 2
Direct
0.623 0.123 0.000 Mg
0.123 0.377 0.000 Mg
0.877 0.623 0.000 Mg
0.377 0.877 0.000 Mg
0.675 0.825 0.500 K
0.325 0.175 0.500 K
0.175 0.675 0.500 K
0.825 0.325 0.500 K
0.500 0.500 0.000 Na
0.000 0.000 0.000 Na
```

Calculated values
The value obtained for the theoretical density is 1124 kg/m³. The value obtained for the total magnetization is 0.0 Bohr magnetons per cell. As for the space-group type: P4/mbm, No. 127.



Arrangement 3

## K2NaMg2 (GGA-PBE)

Data for K2NaMg2 after structural relaxation.

Cell and atoms, written as POSCAR:
```
K2NaMg2
1.0
4.276 0.000 0.000
0.000 4.276 0.000
2.138 2.138 12.357
Mg Na K
2 1 2
Direct
0.750 0.250 0.500 Mg
0.250 0.750 0.500 Mg
0.000 0.000 0.000 Na
0.617 0.617 0.766 K
0.383 0.383 0.234 K
```

Calculated values
The value obtained for the theoretical density is 1101 kg/m³. The value obtained for the total magnetization is 0.0 Bohr magnetons per cell. As for the space-group type: I4/mmm, No. 139.



Calculated relative energies: arrangement 1 64; arrangement 2 17; arrangement 3 0, given in meV per atom



Arrangement 1

## KNaMg6O7 (GGA-PBE)

Data for KNaMg6O7 after structural relaxation.

Cell and atoms, written as POSCAR:
```
KNaMg6O7
1.0
4.249 0.000 0.000
0.000 4.249 0.000
0.000 0.000 11.170
O Mg K Na
7 6 1 1
Direct
0.500 0.000 0.095 O
0.000 0.000 0.693 O
0.000 0.000 0.304 O
0.500 0.000 0.493 O
0.000 0.500 0.493 O
0.500 0.500 0.689 O
0.000 0.500 0.095 O
0.500 0.500 0.500 Mg
0.000 0.500 0.264 Mg
0.500 0.000 0.680 Mg
0.000 0.500 0.680 Mg
0.000 0.000 0.482 Mg
0.500 0.000 0.264 Mg
0.000 0.000 0.971 K
0.500 0.500 0.049 Na
```

Calculated values
The value obtained for the theoretical density is 2634 kg/m³. The value obtained for the total magnetization is 1.1 Bohr magnetons per cell. As for the space-group type: P4mm, No. 99.



Arrangement 2

## KNaMg6O7 (GGA-PBE)

Data for KNaMg6O7 after structural relaxation.

Cell and atoms, written as POSCAR:
```
KNaMg6O7
1.0
4.244 0.000 0.000
0.000 4.244 0.000
0.000 0.000 11.076
O K Mg Na
7 1 6 1
Direct
0.500 0.000 0.475 O
0.000 0.000 0.706 O
0.000 0.500 0.100 O
0.000 0.500 0.475 O
0.000 0.000 0.284 O
0.500 0.000 0.100 O
0.500 0.500 0.678 O
0.000 0.000 0.966 K
0.000 0.500 0.282 Mg
0.000 0.500 0.671 Mg
0.500 0.000 0.671 Mg
0.500 0.500 0.084 Mg
0.500 0.500 0.494 Mg
0.500 0.000 0.282 Mg
0.000 0.000 0.483 Na
```

Calculated values
The value obtained for the theoretical density is 2663 kg/m³. The value obtained for the total magnetization is 0.1 Bohr magnetons per cell. As for the space-group type: P4mm, No. 99.



Arrangement 3

## KNaMg6O7 (GGA-PBE)

Data for KNaMg6O7 after structural relaxation.

Cell and atoms, written as POSCAR:
```
KNaMg6O7
1.0
4.627 0.000 0.000
0.000 4.627 0.000
0.000 0.000 8.250
Mg O K Na
6 7 1 1
Direct
0.500 0.000 0.750 Mg
0.500 0.500 0.994 Mg
0.000 0.500 0.248 Mg
0.500 0.500 0.498 Mg
0.500 0.000 0.248 Mg
0.000 0.500 0.750 Mg
0.000 0.500 0.481 O
0.500 0.500 0.246 O
0.000 0.500 0.010 O
0.500 0.000 0.481 O
0.500 0.500 0.746 O
0.500 0.000 0.010 O
0.000 0.000 0.753 O
0.000 0.000 0.033 K
0.000 0.000 0.500 Na
```

Calculated values
The value obtained for the theoretical density is 3007 kg/m³. The value obtained for the total magnetization is 0.0 Bohr magnetons per cell. As for the space-group type: P4mm, No. 99.



Calculated relative energies: arrangement 1 19; arrangement 2 60; arrangement 3 0, given in meV per atom



Arrangement 1

## KMgNb (GGA-PBE)

Data for KMgNb after structural relaxation.

Cell and atoms, written as POSCAR:
```
KMgNb
1.0
4.840 -2.794 0.000
0.000 5.589 0.000
0.000 0.000 7.932
Mg Nb K
2 2 2
Direct
0.333 0.667 0.315 Mg
0.333 0.667 0.685 Mg
0.000 0.000 0.637 Nb
0.000 0.000 0.363 Nb
0.667 0.333 0.000 K
0.667 0.333 0.500 K
```

Calculated values
The value obtained for the theoretical density is 2420 kg/m³. The value obtained for the total magnetization is 0.0 Bohr magnetons per cell. As for the space-group type: P-6m2, No. 187.



Arrangement 2

## KMgNb (GGA-PBE)

Data for KMgNb after structural relaxation.

Cell and atoms, written as POSCAR:
```
KMgNb
1.0
4.937 -2.850 0.000
0.000 5.700 0.000
0.000 0.000 2.799
K Mg Nb
1 1 1
Direct
0.667 0.333 0.500 K
0.000 0.000 0.000 Mg
0.333 0.667 0.000 Nb
```

Calculated values
The value obtained for the theoretical density is 3295 kg/m³. The value obtained for the total magnetization is 0.9 Bohr magnetons per cell. As for the space-group type: P-6m2, No. 187.



Arrangement 3

## KMgNb (GGA-PBE)

Data for KMgNb after structural relaxation.

Cell and atoms, written as POSCAR:
```
KMgNb
1.0
-4.575 -2.769 1.202
1.965 -1.075 5.003
-3.031 6.092 2.499
K Mg Nb
2 2 2
Direct
0.500 0.000 0.899 K
0.000 0.500 0.101 K
0.500 0.500 0.500 Mg
0.000 0.000 0.500 Mg
0.000 0.500 0.568 Nb
0.500 0.000 0.432 Nb
```

Calculated values
The value obtained for the theoretical density is 2383 kg/m³. The value obtained for the total magnetization is 4.7 Bohr magnetons per cell. As for the space-group type: P4/nmm, No. 129.



Arrangement 4

## KMgNb (GGA-PBE)

Data for KMgNb after structural relaxation.

Cell and atoms, written as POSCAR:
```
KMgNb
1.0
3.141 0.000 0.004
-1.454 12.944 -0.008
-0.399 0.004 4.709
Mg Nb K
2 2 2
Direct
0.408 0.687 0.483 Mg
0.548 0.991 0.987 Mg
0.957 0.799 0.984 Nb
0.999 0.878 0.486 Nb
0.817 0.489 0.984 K
0.140 0.188 0.487 K
```

Calculated values
The value obtained for the theoretical density is 2711 kg/m³. The value obtained for the total magnetization is 0.0 Bohr magnetons per cell. As for the space-group type: P1, No. 1.



Calculated relative energies: arrangement 1 562; arrangement 2 688; arrangement 3 810; arrangement 4 0, given in meV per atom